{
  "formula": "Tl2PdBr2Cl2",
  "functional": "GGA-PBE",
  "state": "optimized geometry",
  "lattice_angstrom": [[-1.738, 2.729, -2.866], [-5.199, 1.865, 4.927], [4.336, 5.414, 2.526]],
  "species": ["Br", "Br", "Cl", "Cl", "Pd", "Tl", "Tl"],
  "fractional_positions": [[0.000, 0.235, 0.232], [0.000, 0.765, 0.232], [0.000, 0.224, 0.772], [0.000, 0.776, 0.772], [0.000, 0.000, 0.996], [0.500, 0.000, 0.513], [0.500, 0.500, 0.983]],
  "rho_g_cm3": 5.244,
  "dft_energy_ev_per_atom": -3.158,
  "crystal_system": "orthorhombic",
  "spacegroup": "Pmm2"
}